# SnN2OF | Alexandria | SCAN | single point on PBEsol structure
# Total magnetic moment, μB per cell: 0.90
# Symmetry: No. 123
# Raw total energy, eV per cell: -55.58
# Raw formation energy, kJ/mol of formula units: 839
data_SnN2OF
_chemical_formula_sum 'Sn1 N2 O1 F1'
_symmetry_space_group_name_H-M 'P 1'
_symmetry_Int_Tables_number 1
_cell_length_a 3.397
_cell_length_b 3.397
_cell_length_c 4.720
_cell_angle_alpha 90.00
_cell_angle_beta 90.00
_cell_angle_gamma 90.00
loop_
_symmetry_equiv_pos_as_xyz
'x,y,z'
loop_
_atom_site_label
_atom_site_type_symbol
_atom_site_fract_x
_atom_site_fract_y
_atom_site_fract_z
Sn1 Sn 0.000 0.000 0.000
N1 N 0.000 0.500 0.500
N2 N 0.500 0.000 0.500
O1 O 0.500 0.500 0.000
F1 F 0.500 0.500 0.500

# SrNO2F | Alexandria | SCAN | single point on PBEsol structure
# Total magnetic moment, μB per cell: 6.00
# Symmetry: No. 123
# Raw total energy, eV per cell: -48.05
# Raw formation energy, kJ/mol of formula units: -47
data_SrNO2F
_chemical_formula_sum 'Sr1 N1 O2 F1'
_symmetry_space_group_name_H-M 'P 1'
_symmetry_Int_Tables_number 1
_cell_length_a 5.097
_cell_length_b 5.097
_cell_length_c 4.627
_cell_angle_alpha 90.00
_cell_angle_beta 90.00
_cell_angle_gamma 90.00
loop_
_symmetry_equiv_pos_as_xyz
'x,y,z'
loop_
_atom_site_label
_atom_site_type_symbol
_atom_site_fract_x
_atom_site_fract_y
_atom_site_fract_z
Sr1 Sr 0.000 0.000 0.000
N1 N 0.500 0.500 0.500
O1 O 0.000 0.500 0.000
O2 O 0.500 0.000 0.000
F1 F 0.000 0.000 0.500